Entry from Alexandria via LeMat-Bulk: a crystal of Ni2PtAu relaxed with PBEsol (meta-GGA SCAN).

Results
E_form: 0.03 eV/atom
calculated total energy: -42.90 eV per atom
M_tot: 1.96 μB/f.u.

```
Ni2PtAu
1.0
-2.8410 -2.4036 -0.0599
0.6186 -0.6411 -3.6137
3.5088 -1.3345 2.7540
Au Ni Pt
1 2 1
direct
0.2500 0.7500 0.5000
0.0000 0.0000 0.0000
0.7500 0.2500 0.5000
0.5000 0.5000 0.0000
```



Entry from Alexandria via LeMat-Bulk: a crystal of NiPt2Au relaxed with PBEsol (meta-GGA SCAN).

Results
E_form: -0.06 eV/atom
calculated total energy: -56.49 eV per atom
M_tot: 1.46 μB/f.u.

```
NiPt2Au
1.0
2.7515 0.0000 0.0000
0.0000 4.7033 0.0013
-1.3757 -0.9896 4.4704
Ni Au Pt
1 1 2
direct
0.5000 0.0000 0.0000
0.0000 0.5000 0.0000
0.2404 0.2390 0.4809
0.7596 0.7610 0.5191
```



Entry from Alexandria via LeMat-Bulk: a crystal of NiPt2Au relaxed with PBEsol (meta-GGA SCAN).

Results
E_form: -0.11 eV/atom
calculated total energy: -56.54 eV per atom
M_tot: 1.65 μB/f.u.

```
NiPt2Au
1.0
-1.0501 -2.4989 -0.4377
-0.1587 -1.8034 2.0644
-8.5042 1.6132 2.5814
Ni Au Pt
1 1 2
direct
0.0000 0.0000 0.0000
0.5000 0.5000 0.5000
0.2574 0.2574 0.2277
0.7426 0.7426 0.7723
```



Entry from Alexandria via LeMat-Bulk: a crystal of NiPtAu relaxed with PBEsol (meta-GGA SCAN).

Results
E_form: -0.02 eV/atom
calculated total energy: -51.86 eV per atom
M_tot: 1.21 μB/f.u.

```
NiPtAu
1.0
2.7610 0.0000 0.0000
0.0000 2.7610 0.0000
-1.3805 -1.3805 5.5707
Ni Au Pt
1 1 1
direct
0.3288 0.3288 0.6576
0.9913 0.9913 0.9826
0.6799 0.6799 0.3598
```



Entry from Alexandria via LeMat-Bulk: a crystal of Ni2PtAu relaxed with PBEsol (meta-GGA SCAN).

Results
E_form: 0.01 eV/atom
calculated total energy: -42.91 eV per atom
M_tot: 1.78 μB/f.u.

```
Ni2PtAu
1.0
-0.8199 -0.7390 -2.4947
-0.0664 -2.6088 0.7946
-6.7856 0.7815 1.9987
Au Ni Pt
1 2 1
direct
0.5000 0.5000 0.7705
0.0000 0.0000 0.0290
0.5000 0.5000 0.2304
0.0000 0.0000 0.4700
```



Entry from Alexandria via LeMat-Bulk: a crystal of NiPt2Au relaxed with PBEsol (meta-GGA SCAN).

Results
E_form: -0.06 eV/atom
calculated total energy: -56.49 eV per atom
M_tot: 1.70 μB/f.u.

```
NiPt2Au
1.0
2.7524 0.0000 0.0000
0.0000 2.7524 0.0000
0.0000 0.0000 7.6037
Ni Au Pt
1 1 2
direct
0.5000 0.5000 0.5000
0.5000 0.5000 0.0000
0.0000 0.0000 0.7218
0.0000 0.0000 0.2782
```



Entry from Alexandria via LeMat-Bulk: a crystal of Ni2PtAu relaxed with PBEsol (meta-GGA SCAN).

Results
E_form: -0.04 eV/atom
calculated total energy: -42.96 eV per atom
M_tot: 2.09 μB/f.u.

```
Ni2PtAu
1.0
-2.3140 1.0324 -0.9995
-1.7389 -2.9308 0.9985
-1.0768 2.2963 4.8647
Ni Au Pt
2 1 1
direct
0.0000 0.0000 0.7645
0.0000 0.0000 0.2355
0.5000 0.5000 0.5000
0.5000 0.5000 0.0000
```



Entry from Alexandria via LeMat-Bulk: a crystal of NiPt2Au relaxed with PBEsol (meta-GGA SCAN).

Results
E_form: -0.01 eV/atom
calculated total energy: -56.44 eV per atom
M_tot: 1.52 μB/f.u.

```
NiPt2Au
1.0
2.7616 0.0000 0.0000
0.0000 2.7616 0.0000
0.0000 0.0000 7.5352
Ni Au Pt
1 1 2
direct
0.5000 0.5000 0.7591
0.0000 0.0000 0.5191
0.0000 0.0000 0.9795
0.5000 0.5000 0.2423
```



Entry from Alexandria via LeMat-Bulk: a crystal of Ni2PtAu relaxed with PBEsol (meta-GGA SCAN).

Results
E_form: -0.05 eV/atom
calculated total energy: -42.98 eV per atom
M_tot: 2.21 μB/f.u.

```
Ni2PtAu
1.0
-0.8930 -2.5109 0.5274
3.9467 -1.0085 1.8811
-2.5046 1.5971 3.3628
Ni Au Pt
2 1 1
direct
0.0000 0.5000 0.0000
0.0000 0.0000 0.5000
0.5000 0.5000 0.5000
0.5000 0.0000 0.0000
```



Entry from Alexandria via LeMat-Bulk: a crystal of NiPt2Au relaxed with PBEsol (meta-GGA SCAN).

Results
E_form: 0.05 eV/atom
calculated total energy: -56.38 eV per atom
M_tot: 1.60 μB/f.u.

```
NiPt2Au
1.0
-2.4207 -2.9735 0.6518
2.9180 -2.0293 1.5791
-1.1018 3.9494 2.3219
Au Ni Pt
1 1 2
direct
0.5000 0.5000 0.0000
0.2500 0.7500 0.5000
0.0000 0.0000 0.0000
0.7500 0.2500 0.5000
```



Entry from Alexandria via LeMat-Bulk: a crystal of NiPt2Au relaxed with PBEsol (meta-GGA SCAN).

Results
E_form: -0.04 eV/atom
calculated total energy: -56.47 eV per atom
M_tot: 1.33 μB/f.u.

```
NiPt2Au
1.0
2.7323 0.0000 0.0000
0.0000 4.6099 0.0000
-1.3662 -2.3050 4.6133
Ni Au Pt
1 1 2
direct
0.0000 0.5000 0.0000
0.5000 0.0000 0.0000
0.7344 0.7344 0.4688
0.2656 0.2656 0.5312
```



Entry from Alexandria via LeMat-Bulk: a crystal of RbNi2Au relaxed with PBEsol (meta-GGA SCAN).

Results
E_form: 0.97 eV/atom
calculated total energy: -29.59 eV per atom
M_tot: 0.00 μB/f.u.

```
RbNi2Au
1.0
-3.7740 1.8426 1.7682
-1.0218 -0.6709 4.3899
0.3203 3.4445 2.9661
Ni Au Rb
2 1 1
direct
0.2500 0.2500 0.2500
0.7500 0.7500 0.7500
0.5000 0.5000 0.5000
0.0000 0.0000 0.0000
```